## BeFeI2N (PBE-GGA)

Data for a relaxed BeFeI2N crystal.

CIF file:
```
data_BeFeI2N
_space_group_name_H-M_alt 'P 1'
_space_group_IT_number 1
_cell_length_a 5.382
_cell_length_b 5.382
_cell_length_c 3.154
_cell_angle_alpha 90.00
_cell_angle_beta 90.00
_cell_angle_gamma 90.00
loop_
_space_group_symop_operation_xyz
'x,y,z'
loop_
_atom_site_label
_atom_site_fract_x
_atom_site_fract_y
_atom_site_fract_z
_atom_site_occupancy
I1 0.000 0.500 0.000 1
I2 0.500 0.000 0.000 1
Fe1 0.500 0.500 0.500 1
Be1 0.000 0.000 0.000 1
N1 0.000 0.000 0.500 1
```

Output
Formation energy without anion corrections = 1015 meV per atom
Symmetry = No. 123
Total moment = 0.114 μB per formula unit
Polymorph energy (0 for the lowest one) = 0.288 eV per atom

=====

## BeFeI2N (PBE-GGA)

Data for a relaxed BeFeI2N crystal.

CIF file:
```
data_BeFeI2N
_space_group_name_H-M_alt 'P 1'
_space_group_IT_number 1
_cell_length_a 5.307
_cell_length_b 5.307
_cell_length_c 3.499
_cell_angle_alpha 90.00
_cell_angle_beta 90.00
_cell_angle_gamma 90.00
loop_
_space_group_symop_operation_xyz
'x,y,z'
loop_
_atom_site_label
_atom_site_fract_x
_atom_site_fract_y
_atom_site_fract_z
_atom_site_occupancy
Fe1 0.000 0.000 0.000 1
I1 0.000 0.500 0.000 1
I2 0.500 0.000 0.000 1
N1 0.000 0.000 0.500 1
Be1 0.500 0.500 0.500 1
```

Output
Formation energy without anion corrections = 727 meV per atom
Symmetry = No. 123
Total moment = 0.000 μB per formula unit
Polymorph energy (0 for the lowest one) = 0.000 eV per atom

=====

## BeFeIN2 (PBE-GGA)

Data for a relaxed BeFeIN2 crystal.

CIF file:
```
data_BeFeIN2
_space_group_name_H-M_alt 'P 1'
_space_group_IT_number 1
_cell_length_a 3.543
_cell_length_b 3.543
_cell_length_c 6.968
_cell_angle_alpha 90.00
_cell_angle_beta 90.00
_cell_angle_gamma 90.00
loop_
_space_group_symop_operation_xyz
'x,y,z'
loop_
_atom_site_label
_atom_site_fract_x
_atom_site_fract_y
_atom_site_fract_z
_atom_site_occupancy
N1 0.000 0.500 0.000 1
N2 0.500 0.000 0.000 1
Fe1 0.000 0.000 0.000 1
Be1 0.500 0.500 0.500 1
I1 0.000 0.000 0.500 1
```

Output
Formation energy without anion corrections = 1015 meV per atom
Symmetry = No. 123
Total moment = 0.273 μB per formula unit
Polymorph energy (0 for the lowest one) = 0.000 eV per atom

=====

no.,electronic total energy (eV/atom)
1,-3.708
2,-3.996
3,-5.063